Entry 1:
As5Cl3 | the Alexandria database | GGA-PBE | relaxed; volume = 22.45 Å³/atom; D(E_F) = 4.89 states/eV/f.u.; formation energy from raw total energies = 0.26 eV/atom; polymorph energy (0 for the lowest one) = 0 meV per atom; uncorrected energy = -26.7 eV per cell; magnetic moment = 0.7 Bohr magnetons per cell
1.0
-3.4500 -1.8194 3.9056
-2.0810 -3.4972 -3.7289
3.9600 -4.0664 1.6038
As Cl
5 3
direct
0.0000 0.0000 0.0000
0.0000 0.5000 0.0000
0.5000 0.0000 0.0000
0.1517 0.1517 0.5000
0.8483 0.8483 0.5000
0.5000 0.5000 0.0000
0.7094 0.2906 0.5000
0.2906 0.7094 0.5000

***

Entry 2:
La2Pm3Tm7 | the Alexandria database | GGA-PBE | relaxed; volume = 32.83 Å³/atom; D(E_F) = 17.26 states/eV/f.u.; polymorph energy (0 for the lowest one) = 19 meV per atom; uncorrected energy = -54.0 eV per cell; magnetic moment = 0.0 Bohr magnetons per cell
1.0
3.6091 0.0000 0.0000
0.0000 5.6987 0.0000
0.0000 -2.8493 19.1532
La Pm Tm
2 3 7
direct
0.0000 0.8537 0.7075
0.0000 0.1463 0.2925
0.5000 0.5000 0.0000
0.5000 0.6873 0.3747
0.5000 0.3127 0.6253
0.0000 0.4122 0.8244
0.0000 0.7696 0.5392
0.0000 0.0000 0.0000
0.0000 0.5878 0.1756
0.5000 0.0698 0.1396
0.5000 0.9302 0.8604
0.0000 0.2304 0.4608

***

Entry 3:
Na2BeTeS4 | the Alexandria database | GGA-PBE | relaxed; volume = 21.89 Å³/atom; formation energy from raw total energies = -0.64 eV/atom; uncorrected energy = -31.2 eV per cell; magnetic moment = 0.0 Bohr magnetons per cell
1.0
-6.2431 -1.2966 -0.0213
-0.5667 -5.4807 -4.3938
3.9183 0.8670 5.2873
Na Be Te S
2 1 1 4
direct
0.5339 0.0337 0.0681
0.2947 0.2947 0.5893
0.9673 0.4674 0.9347
0.7732 0.7733 0.5465
0.6284 0.5431 0.6508
0.8694 0.4155 0.1669
0.2974 0.7514 0.1667
0.0227 0.1079 0.6511

***

Entry 4:
GdTh2H | the Alexandria database | GGA-PBE | relaxed; volume = 24.97 Å³/atom; D(E_F) = 4.72 states/eV/f.u.; polymorph energy (0 for the lowest one) = 120 meV per atom; uncorrected energy = -31.5 eV per cell; magnetic moment = 7.2 Bohr magnetons per cell
1.0
-2.5606 -0.5571 -2.1526
-0.3656 -3.1329 1.2457
-5.6163 3.0029 5.9037
H Gd Th
1 1 2
direct
0.5000 0.5000 0.0000
0.5000 0.5000 0.5000
0.0000 0.0000 0.8189
0.0000 0.0000 0.1811

***

Entry 5:
Pr5SmCu6 | the Alexandria database | GGA-PBE | relaxed; volume = 23.49 Å³/atom; D(E_F) = 10.38 states/eV/f.u.; uncorrected energy = -54.7 eV per cell; magnetic moment = 0.0 Bohr magnetons per cell
1.0
-1.6345 -4.8007 -0.7563
4.0484 -2.2412 5.4710
-4.6384 -2.3097 7.1793
Pr Cu Sm
5 6 1
direct
0.6673 0.1677 0.6646
0.3346 0.3343 0.3313
0.0000 0.5000 0.0000
0.6654 0.6657 0.6687
0.3327 0.8323 0.3354
0.8367 0.5912 0.3281
0.8367 0.0803 0.3281
0.5001 0.7615 0.0002
0.4999 0.2385 0.9998
0.1633 0.9197 0.6719
0.1633 0.4088 0.6719
0.0000 0.0000 0.0000

***

Entry 6:
KY3Bi | the Alexandria database | GGA-PBE | relaxed; volume = 43.31 Å³/atom; D(E_F) = 6.36 states/eV/f.u.; polymorph energy (0 for the lowest one) = 0 meV per atom; uncorrected energy = -22.9 eV per cell; magnetic moment = 2.9 Bohr magnetons per cell
1.0
6.0051 0.0000 0.0000
0.0000 6.0051 0.0000
0.0000 0.0000 6.0051
Y K Bi
3 1 1
direct
0.0000 0.5000 0.0000
0.0000 0.0000 0.5000
0.5000 0.0000 0.0000
0.5000 0.5000 0.5000
0.0000 0.0000 0.0000

***

Entry 7:
Mg2SiAu | the Alexandria database | GGA-PBE | relaxed; volume = 19.21 Å³/atom; D(E_F) = 2.84 states/eV/f.u.; formation energy from raw total energies = -0.03 eV/atom; uncorrected energy = -12.0 eV per cell; magnetic moment = 0.0 Bohr magnetons per cell
1.0
-2.7553 -0.1806 1.5179
1.5274 -1.0714 2.5392
0.9107 7.2642 2.5172
Au Mg Si
1 2 1
direct
0.5000 0.5000 0.7343
0.0000 0.0000 0.9664
0.5000 0.5000 0.2764
0.0000 0.0000 0.5228

***

Entry 8:
NaTb4Hg7 | the Alexandria database | GGA-PBE | relaxed; volume = 27.10 Å³/atom; D(E_F) = 8.09 states/eV/f.u.; uncorrected energy = -25.6 eV per cell; magnetic moment = 0.0 Bohr magnetons per cell
1.0
-4.8382 -2.4069 0.2422
-2.1512 -2.6789 -9.1919
0.4352 -6.8790 0.7386
Na Tb Hg
1 4 7
direct
0.0000 0.0000 0.0000
0.5845 0.2229 0.6081
0.4155 0.7771 0.3919
0.7382 0.6732 0.8504
0.2618 0.3268 0.1496
0.7940 0.9129 0.4991
0.2060 0.0871 0.5009
0.0701 0.6622 0.1975
0.9299 0.3378 0.8025
0.3633 0.5328 0.7406
0.5000 0.0000 0.0000
0.6367 0.4672 0.2594

***

Entry 9:
Pm12Tl5Ge2 | the Alexandria database | GGA-PBE | relaxed; volume = 32.38 Å³/atom; D(E_F) = 18.44 states/eV/f.u.; uncorrected energy = -82.6 eV per cell; magnetic moment = 0.0 Bohr magnetons per cell
1.0
8.3863 0.0000 0.0000
-4.1931 8.5213 0.1655
0.0000 -2.7888 8.5547
Pm Tl Ge
12 5 2
direct
0.9140 0.8279 0.1473
0.0947 0.6539 0.8188
0.5592 0.6539 0.8188
0.1736 0.7560 0.4378
0.5824 0.7560 0.4378
0.5200 0.0401 0.8039
0.4800 0.9599 0.1961
0.8264 0.2440 0.5622
0.4176 0.2440 0.5622
0.9053 0.3461 0.1812
0.4408 0.3461 0.1812
0.0860 0.1721 0.8527
0.2245 0.4491 0.5042
0.2866 0.5733 0.0867
0.0000 0.0000 0.5000
0.7134 0.4267 0.9133
0.7755 0.5509 0.4958
0.7705 0.0000 0.0000
0.2295 0.0000 0.0000

***

Entry 10:
NaSmRe2O8 | the Alexandria database | GGA-PBE | relaxed; volume = 18.26 Å³/atom; D(E_F) = 6.29 states/eV/f.u.; formation energy from raw total energies = -1.93 eV/atom; uncorrected energy = -93.7 eV per cell; magnetic moment = 2.0 Bohr magnetons per cell
1.0
-5.3158 2.5464 -1.2959
3.1223 -2.8315 -4.3191
-3.2299 -5.9469 1.5636
Na Sm Re O
1 1 2 8
direct
0.0000 0.0000 0.0000
0.0000 0.0000 0.5000
0.6667 0.3333 0.1978
0.3333 0.6667 0.8022
0.3333 0.6667 0.0553
0.3393 0.1698 0.2847
0.8302 0.1695 0.2847
0.6667 0.3333 0.9447
0.1698 0.8305 0.7153
0.6607 0.8302 0.7153
0.1695 0.3393 0.7153
0.8305 0.6607 0.2847

***

Entry 11:
SbTe | the Alexandria database | GGA-PBE | relaxed; volume = 31.39 Å³/atom; D(E_F) = 1.03 states/eV/f.u.; formation energy from raw total energies = 0.02 eV/atom; polymorph energy (0 for the lowest one) = 125 meV per atom; uncorrected energy = -14.4 eV per cell; magnetic moment = 0.0 Bohr magnetons per cell
1.0
7.6886 -0.0725 -0.0443
6.4270 4.2206 -0.0443
6.4270 1.8887 3.7747
Sb Te
2 2
direct
0.0026 0.0026 0.0026
0.7474 0.7474 0.7474
0.4964 0.4964 0.4964
0.2536 0.2536 0.2536

***

Entry 12:
Cd2Pd7Pt2 | the Alexandria database | GGA-PBE | relaxed; volume = 16.73 Å³/atom; D(E_F) = 15.70 states/eV/f.u.; polymorph energy (0 for the lowest one) = 0 meV per atom; uncorrected energy = -51.0 eV per cell; magnetic moment = 0.0 Bohr magnetons per cell
1.0
4.1515 0.0000 -1.2672
-1.0209 5.8314 -3.3446
-0.0039 0.2917 7.4216
Cd Pd Pt
2 7 2
direct
0.2999 0.9205 0.5998
0.7001 0.3207 0.4002
0.1441 0.0497 0.2882
0.1419 0.4774 0.2838
0.5000 0.9238 0.0000
0.3459 0.4697 0.6918
0.6541 0.7779 0.3082
0.8559 0.7615 0.7118
0.8581 0.1936 0.7162
0.0000 0.6229 0.0000
0.5000 0.3361 0.0000

***

Entry 13:
Cd2ReOs | the Alexandria database | GGA-PBE | relaxed; volume = 17.27 Å³/atom; D(E_F) = 4.24 states/eV/f.u.; polymorph energy (0 for the lowest one) = 642 meV per atom; uncorrected energy = -22.1 eV per cell; magnetic moment = 0.0 Bohr magnetons per cell
1.0
5.2861 0.0013 0.0000
-2.5897 4.6083 0.0000
0.0000 0.0000 2.8346
Re Os Cd
1 1 2
direct
0.0000 0.5000 0.5000
0.5000 0.0000 0.5000
0.0000 0.0000 0.0000
0.5000 0.5000 0.0000

***

Entry 14:
RbCd2GeRh | the Alexandria database | GGA-PBE | relaxed; volume = 27.15 Å³/atom; D(E_F) = 1.54 states/eV/f.u.; uncorrected energy = -15.7 eV per cell; magnetic moment = 0.0 Bohr magnetons per cell
1.0
5.3543 0.0000 0.0000
0.0000 5.3543 0.0000
0.0000 0.0000 4.7353
Ge Rh Rb Cd
1 1 1 2
direct
0.0000 0.0000 0.5000
0.0000 0.0000 0.0000
0.5000 0.5000 0.5000
0.0000 0.5000 0.0000
0.5000 0.0000 0.0000

***

Entry 15:
Ca3Pb | the Alexandria database | GGA-PBE | relaxed; volume = 35.00 Å³/atom; D(E_F) = 3.76 states/eV/f.u.; uncorrected energy = -10.4 eV per cell; magnetic moment = 0.0 Bohr magnetons per cell
1.0
-0.6136 5.4312 4.0736
-4.6399 -0.6979 -4.9451
2.4041 -5.7234 2.8164
Pb Ca
1 3
direct
0.5000 0.5000 0.0000
0.0000 0.0000 0.0000
0.0000 0.5000 0.5000
0.5000 0.0000 0.5000

***

Entry 16:
Zr2TaAl | the Alexandria database | GGA-PBE | relaxed; volume = 20.01 Å³/atom; D(E_F) = 4.59 states/eV/f.u.; uncorrected energy = -33.1 eV per cell; magnetic moment = 0.0 Bohr magnetons per cell
1.0
5.3612 0.0179 -0.0150
1.9839 4.9806 0.0150
-3.6626 -2.5138 3.0014
Al Zr Ta
1 2 1
direct
0.7500 0.2500 0.5000
0.0000 0.0000 0.0000
0.5000 0.5000 0.0000
0.2500 0.7500 0.5000

***

Entry 17:
CsHg4Bi | the Alexandria database | GGA-PBE | relaxed; volume = 38.65 Å³/atom; D(E_F) = 0.82 states/eV/f.u.; polymorph energy (0 for the lowest one) = 0 meV per atom; uncorrected energy = -13.6 eV per cell; magnetic moment = 0.0 Bohr magnetons per cell
1.0
-2.6406 -4.7794 -0.1820
3.1794 -1.5383 -5.7323
10.6147 -2.9969 6.6916
Cs Hg Bi
2 8 2
direct
0.3971 0.7500 0.7942
0.6029 0.2500 0.2058
0.2136 0.4886 0.4271
0.7864 0.5114 0.5729
0.2136 0.0114 0.4271
0.7864 0.9886 0.5729
0.6731 0.7500 0.3462
0.3269 0.2500 0.6538
0.0000 0.5000 0.0000
0.0000 0.0000 0.0000
0.0926 0.7500 0.1852
0.9074 0.2500 0.8148

***

Entry 18:
PSeI2N | the Alexandria database | GGA-PBE | relaxed; volume = 24.75 Å³/atom; D(E_F) = 6.03 states/eV/f.u.; formation energy from raw total energies = 0.74 eV/atom; polymorph energy (0 for the lowest one) = 0 meV per atom; uncorrected energy = -16.6 eV per cell; magnetic moment = 0.0 Bohr magnetons per cell
1.0
6.1597 0.0000 0.0000
0.0000 6.1597 0.0000
0.0000 0.0000 3.2616
I P Se N
2 1 1 1
direct
0.0000 0.5000 0.0000
0.5000 0.0000 0.0000
0.0000 0.0000 0.0000
0.5000 0.5000 0.5000
0.0000 0.0000 0.5000

***

Entry 19:
SrSc2Cr | the Alexandria database | GGA-PBE | relaxed; volume = 25.46 Å³/atom; D(E_F) = 3.87 states/eV/f.u.; polymorph energy (0 for the lowest one) = 231 meV per atom; uncorrected energy = -21.9 eV per cell; magnetic moment = 3.9 Bohr magnetons per cell
1.0
-2.2121 2.4686 4.0603
-3.4478 3.8574 -0.8405
-5.0771 -0.7438 1.0693
Sc Sr Cr
2 1 1
direct
0.2500 0.2500 0.2500
0.7500 0.7500 0.7500
0.5000 0.5000 0.5000
0.0000 0.0000 0.0000